No. 1
# Cr2TcW | Alexandria | PBE | optimized geometry
# Offset from the most stable computed form = 24 kJ/mol of formula units
# Density of states at the Fermi level = 4.44 states/eV/f.u.
data_Cr2TcW
_symmetry_space_group_name_H-M 'C 1 2/m 1'
_symmetry_Int_Tables_number 12
_symmetry_space_group_name_Hall '-C 2y'
_cell_length_a 5.249
_cell_length_b 8.408
_cell_length_c 2.642
_cell_angle_alpha 90.00
_cell_angle_beta 109.79
_cell_angle_gamma 90.00
loop_
_atom_site_label
_atom_site_type_symbol
_atom_site_fract_x
_atom_site_fract_y
_atom_site_fract_z
_atom_site_occupancy
Cr1 Cr 0.250 0.250 0.000 1
Tc1 Tc 0.000 0.000 0.500 1
W1 W 0.000 0.500 0.500 1

***

No. 2
# ZnCrTcW | Alexandria | PBE | optimized geometry
# Density of states at the Fermi level = 1.75 states/eV/f.u.
# Energy = -135.11 eV for the cell shown
data_ZnCrTcW
_symmetry_space_group_name_H-M 'F -4 3 m'
_symmetry_Int_Tables_number 216
_symmetry_space_group_name_Hall 'F -4 2 3'
_cell_length_a 6.143
_cell_length_b 6.143
_cell_length_c 6.143
_cell_angle_alpha 90.00
_cell_angle_beta 90.00
_cell_angle_gamma 90.00
loop_
_atom_site_label
_atom_site_type_symbol
_atom_site_fract_x
_atom_site_fract_y
_atom_site_fract_z
_atom_site_occupancy
Zn1 Zn 0.000 0.000 0.000 1
Cr1 Cr 0.250 0.250 0.750 1
Tc1 Tc 0.250 0.250 0.250 1
W1 W 0.000 0.000 0.500 1

***

No. 3
# Zn2CrTcW | Alexandria | PBE | optimized geometry
# Density of states at the Fermi level = 3.69 states/eV/f.u.
# Energy = -28.19 eV for the cell shown
data_Zn2CrTcW
_symmetry_space_group_name_H-M 'P 4/m m m'
_symmetry_Int_Tables_number 123
_symmetry_space_group_name_Hall '-P 4 2'
_cell_length_a 4.548
_cell_length_b 4.548
_cell_length_c 4.346
_cell_angle_alpha 90.00
_cell_angle_beta 90.00
_cell_angle_gamma 90.00
loop_
_atom_site_label
_atom_site_type_symbol
_atom_site_fract_x
_atom_site_fract_y
_atom_site_fract_z
_atom_site_occupancy
Zn1 Zn 0.000 0.500 0.000 1
Cr1 Cr 0.000 0.000 0.000 1
Tc1 Tc 0.500 0.500 0.500 1
W1 W 0.000 0.000 0.500 1